Entry 1
Crystalline BaDy2Ag at its relaxed geometry, computed with PBE-GGA.

Lattice parameters (Å, degrees): 3.732 3.732 9.600 90.00 90.00 90.00
Space group P4/mmm (No. 123)
Asymmetric unit:
Ba1 0.000 0.000 0.000 (multiplicity 1)
Dy1 0.500 0.500 0.324 (multiplicity 2)
Ag1 0.000 0.000 0.500 (multiplicity 1)

Summary:
N(E_F)   5.581 states/eV per cell
ρ   7.082 Mg/m³


Entry 2
Crystalline BaDy2Ag at its relaxed geometry, computed with PBE-GGA.

Lattice parameters (Å, degrees): 3.6610 3.6610 35.0690 90.00 90.00 120.00
Space group R-3m (No. 166, hexagonal axes)
Asymmetric unit:
Ba1 0.0000 0.0000 0.0000 (multiplicity 3)
Dy1 0.0000 0.0000 0.1038 (multiplicity 6)
Ag1 0.0000 0.0000 0.5000 (multiplicity 3)

Summary:
N(E_F)   16.554 states/eV per cell
ρ   6.978 Mg/m³


In terms of stability, entry 1 leads; the second structure lies 217 meV per atom higher.


Entry 1
Crystalline BaEuAg2 at its relaxed geometry, computed with PBE-GGA.

Lattice parameters (Å, degrees): 5.633 5.633 3.954 90.00 90.00 90.00
Space group P4/mmm (No. 123)
Asymmetric unit:
Ba1 0.000 0.000 0.000 (multiplicity 1)
Eu1 0.500 0.500 0.000 (multiplicity 1)
Ag1 0.000 0.500 0.500 (multiplicity 2)

Summary:
N(E_F)   10.602 states/eV per cell
ρ   6.684 Mg/m³


Entry 2
Crystalline BaEuAg2 at its relaxed geometry, computed with PBE-GGA.

Lattice parameters (Å, degrees): 3.996 3.996 7.827 90.00 90.00 90.00
Space group P4/mmm (No. 123)
Asymmetric unit:
Ba1 0.000 0.000 0.000 (multiplicity 1)
Eu1 0.000 0.000 0.500 (multiplicity 1)
Ag1 0.500 0.500 0.287 (multiplicity 2)

Summary:
N(E_F)   8.358 states/eV per cell
ρ   6.711 Mg/m³


In terms of stability, entry 2 leads; the second structure lies 29 meV per atom higher.


Entry 1
Crystalline Ba2EuAg at its relaxed geometry, computed with PBE-GGA.

Lattice parameters (Å, degrees): 4.3907 4.3907 36.9133 90.00 90.00 120.00
Space group R-3m (No. 166, hexagonal axes)
Asymmetric unit:
Ba1 0.0000 0.0000 0.1087 (multiplicity 6)
Eu1 0.0000 0.0000 0.0000 (multiplicity 3)
Ag1 0.0000 0.0000 0.5000 (multiplicity 3)

Summary:
N(E_F)   15.432 states/eV per cell
ρ   4.320 Mg/m³


Entry 2
Crystalline Ba2EuAg at its relaxed geometry, computed with PBE-GGA.

Lattice parameters (Å, degrees): 6.145 6.145 4.566 90.00 90.00 90.00
Space group P4/mmm (No. 123)
Asymmetric unit:
Ba1 0.000 0.500 0.000 (multiplicity 2)
Eu1 0.000 0.000 0.500 (multiplicity 1)
Ag1 0.500 0.500 0.500 (multiplicity 1)

Summary:
N(E_F)   4.712 states/eV per cell
ρ   5.149 Mg/m³


Entry 3
Crystalline Ba2EuAg at its relaxed geometry, computed with PBE-GGA.

Lattice parameters (Å, degrees): 4.150 4.150 10.349 90.00 90.00 90.00
Space group P4/mmm (No. 123)
Asymmetric unit:
Ba1 0.000 0.000 0.191 (multiplicity 2)
Eu1 0.500 0.500 0.500 (multiplicity 1)
Ag1 0.500 0.500 0.000 (multiplicity 1)

Summary:
N(E_F)   3.420 states/eV per cell
ρ   4.979 Mg/m³


In terms of stability, entry 3 leads; the second structure lies 141 meV per atom higher.


Entry 1
Crystalline BaAgF3 at its relaxed geometry, computed with PBE-GGA.

Lattice parameters (Å, degrees): 5.067 5.067 5.067 90.00 90.00 90.00
Space group Pm-3m (No. 221)
Asymmetric unit:
Ba1 0.000 0.000 0.000 (multiplicity 1)
Ag1 0.500 0.500 0.500 (multiplicity 1)
F1 0.000 0.000 0.500 (multiplicity 3)

Summary:
N(E_F)   0.000 states/eV per cell
ρ   3.858 Mg/m³


Entry 2
Crystalline BaAgF3 at its relaxed geometry, computed with PBE-GGA.

Lattice parameters (Å, degrees): 4.584 4.584 4.584 90.00 90.00 90.00
Space group Pm-3m (No. 221)
Asymmetric unit:
Ba1 0.000 0.000 0.000 (multiplicity 1)
Ag1 0.500 0.500 0.500 (multiplicity 1)
F1 0.000 0.500 0.500 (multiplicity 3)

Summary:
N(E_F)   0.000 states/eV per cell
ρ   5.210 Mg/m³


In terms of stability, entry 2 leads; the second structure lies 94 meV per atom higher.


Entry 1
Crystalline BaAg3F at its relaxed geometry, computed with PBE-GGA.

Lattice parameters (Å, degrees): 6.366 6.366 6.366 90.00 90.00 90.00
Space group Pm-3m (No. 221)
Asymmetric unit:
Ba1 0.000 0.000 0.000 (multiplicity 1)
Ag1 0.000 0.000 0.500 (multiplicity 3)
F1 0.500 0.500 0.500 (multiplicity 1)

Summary:
N(E_F)   2.489 states/eV per cell
ρ   3.089 Mg/m³


Entry 2
Crystalline BaAg3F at its relaxed geometry, computed with PBE-GGA.

Lattice parameters (Å, degrees): 5.007 5.007 5.007 90.00 90.00 90.00
Space group Pm-3m (No. 221)
Asymmetric unit:
Ba1 0.000 0.000 0.000 (multiplicity 1)
Ag1 0.000 0.500 0.500 (multiplicity 3)
F1 0.500 0.500 0.500 (multiplicity 1)

Summary:
N(E_F)   4.291 states/eV per cell
ρ   6.347 Mg/m³


In terms of stability, entry 2 leads; the second structure lies 934 meV per atom higher.


Entry 1
Crystalline Ba2AgF at its relaxed geometry, computed with PBE-GGA.

Lattice parameters (Å, degrees): 7.801 7.801 9.402 90.00 90.00 90.00
Space group I-42d (No. 122)
Asymmetric unit:
Ba1 0.184 0.250 0.125 (multiplicity 8)
Ag1 0.000 0.000 0.500 (multiplicity 4)
F1 0.000 0.000 0.000 (multiplicity 4)

Summary:
N(E_F)   5.214 states/eV per cell
ρ   4.661 Mg/m³


Entry 2
Crystalline Ba2AgF at its relaxed geometry, computed with PBE-GGA.

Lattice parameters (Å, degrees): 7.980 7.980 7.980 90.00 90.00 90.00
Space group Fm-3m (No. 225)
Asymmetric unit:
Ba1 0.250 0.250 0.250 (multiplicity 8)
Ag1 0.000 0.000 0.000 (multiplicity 4)
F1 0.000 0.000 0.500 (multiplicity 4)

Summary:
N(E_F)   11.431 states/eV per cell
ρ   5.248 Mg/m³


In terms of stability, entry 1 leads; the second structure lies 307 meV per atom higher.


Entry 1
Crystalline Ba2Ag2F at its relaxed geometry, computed with PBE-GGA.

Lattice parameters (Å, degrees): 3.936 3.936 18.578 90.00 90.00 90.00
Space group I4/mmm (No. 139)
Asymmetric unit:
Ba1 0.000 0.000 0.102 (multiplicity 4)
Ag1 0.000 0.500 0.250 (multiplicity 4)
F1 0.000 0.000 0.500 (multiplicity 2)

Summary:
N(E_F)   7.482 states/eV per cell
ρ   5.877 Mg/m³


Entry 2
Crystalline Ba2Ag2F at its relaxed geometry, computed with PBE-GGA.

Lattice parameters (Å, degrees): 8.068 8.068 5.084 90.00 90.00 90.00
Space group P4/mbm (No. 127)
Asymmetric unit:
Ba1 0.190 0.310 0.000 (multiplicity 4)
Ag1 0.119 0.619 0.500 (multiplicity 4)
F1 0.000 0.000 0.000 (multiplicity 2)

Summary:
N(E_F)   5.624 states/eV per cell
ρ   5.112 Mg/m³


In terms of stability, entry 2 leads; the second structure lies 206 meV per atom higher.


Entry 1
Crystalline BaAgF4 at its relaxed geometry, computed with PBE-GGA.

Lattice parameters (Å, degrees): 12.347 4.681 7.810 90.00 105.98 90.00
Space group C2/c (No. 15)
Asymmetric unit:
Ba1 0.000 0.237 0.250 (multiplicity 4)
Ag1 0.250 0.250 0.000 (multiplicity 4)
F1 0.065 0.272 0.944 (multiplicity 8)
F2 0.215 0.098 0.326 (multiplicity 8)

Summary:
ρ   4.916 Mg/m³


Entry 2
Crystalline BaAgF4 at its relaxed geometry, computed with PBE-GGA.

Lattice parameters (Å, degrees): 4.558 15.387 5.993 90.00 90.00 90.00
Space group Cmcm (No. 63)
Asymmetric unit:
Ba1 0.000 0.160 0.250 (multiplicity 4)
Ag1 0.000 0.402 0.250 (multiplicity 4)
F1 0.000 0.100 0.750 (multiplicity 4)
F2 0.000 0.304 0.518 (multiplicity 8)
F3 0.000 0.500 0.000 (multiplicity 4)

Summary:
N(E_F)   9.574 states/eV per cell
ρ   5.075 Mg/m³


In terms of stability, entry 1 leads; the second structure lies 9 meV per atom higher.


Entry 1
Crystalline BaAgN2F at its relaxed geometry, computed with PBE-GGA.

Lattice parameters (Å, degrees): 4.094 4.094 5.041 90.00 90.00 90.00
Space group P4/mmm (No. 123)
Asymmetric unit:
Ba1 0.000 0.000 0.000 (multiplicity 1)
Ag1 0.500 0.500 0.500 (multiplicity 1)
N1 0.000 0.500 0.500 (multiplicity 2)
F1 0.500 0.500 0.000 (multiplicity 1)

Summary:
N(E_F)   2.151 states/eV per cell
ρ   5.743 Mg/m³


Entry 2
Crystalline BaAgN2F at its relaxed geometry, computed with PBE-GGA.

Lattice parameters (Å, degrees): 5.436 5.436 4.929 90.00 90.00 90.00
Space group P4/mmm (No. 123)
Asymmetric unit:
Ba1 0.000 0.000 0.000 (multiplicity 1)
Ag1 0.500 0.500 0.500 (multiplicity 1)
N1 0.000 0.500 0.000 (multiplicity 2)
F1 0.000 0.000 0.500 (multiplicity 1)

Summary:
N(E_F)   1.802 states/eV per cell
ρ   3.331 Mg/m³


In terms of stability, entry 1 leads; the second structure lies 757 meV per atom higher.


Entry 1
Crystalline BaFe3Ag at its relaxed geometry, computed with PBE-GGA.

Lattice parameters (Å, degrees): 4.954 4.954 4.954 90.00 90.00 90.00
Space group Pm-3m (No. 221)
Asymmetric unit:
Ba1 0.000 0.000 0.000 (multiplicity 1)
Fe1 0.000 0.500 0.500 (multiplicity 3)
Ag1 0.500 0.500 0.500 (multiplicity 1)

Summary:
N(E_F)   10.357 states/eV per cell
ρ   5.636 Mg/m³


Entry 2
Crystalline BaFe3Ag at its relaxed geometry, computed with PBE-GGA.

Lattice parameters (Å, degrees): 4.904 4.904 4.904 90.00 90.00 90.00
Space group Pm-3m (No. 221)
Asymmetric unit:
Ba1 0.000 0.000 0.000 (multiplicity 1)
Fe1 0.000 0.000 0.500 (multiplicity 3)
Ag1 0.500 0.500 0.500 (multiplicity 1)

Summary:
N(E_F)   11.110 states/eV per cell
ρ   5.811 Mg/m³


In terms of stability, entry 1 leads; the second structure lies 1173 meV per atom higher.


Entry 1
Crystalline BaFeAg3 at its relaxed geometry, computed with PBE-GGA.

Lattice parameters (Å, degrees): 5.089 5.089 5.089 90.00 90.00 90.00
Space group Pm-3m (No. 221)
Asymmetric unit:
Ba1 0.000 0.000 0.000 (multiplicity 1)
Fe1 0.500 0.500 0.500 (multiplicity 1)
Ag1 0.000 0.500 0.500 (multiplicity 3)

Summary:
N(E_F)   3.755 states/eV per cell
ρ   6.510 Mg/m³


Entry 2
Crystalline BaFeAg3 at its relaxed geometry, computed with PBE-GGA.

Lattice parameters (Å, degrees): 6.009 6.009 6.009 90.00 90.00 90.00
Space group Pm-3m (No. 221)
Asymmetric unit:
Ba1 0.000 0.000 0.000 (multiplicity 1)
Fe1 0.500 0.500 0.500 (multiplicity 1)
Ag1 0.000 0.000 0.500 (multiplicity 3)

Summary:
N(E_F)   10.078 states/eV per cell
ρ   3.954 Mg/m³


In terms of stability, entry 1 leads; the second structure lies 1305 meV per atom higher.


Entry 1
Crystalline BaGa2Ag9 at its relaxed geometry, computed with PBE-GGA.

Lattice parameters (Å, degrees): 9.1978 9.1978 3.2902 90.00 90.00 120.00
Space group P6/mmm (No. 191)
Asymmetric unit:
Ba1 0.0000 0.0000 0.0000 (multiplicity 1)
Ga1 0.3333 0.6667 0.0000 (multiplicity 2)
Ag1 0.0000 0.5000 0.0000 (multiplicity 3)
Ag2 0.1913 0.3827 0.5000 (multiplicity 6)

Summary:
N(E_F)   5.257 states/eV per cell
ρ   8.594 Mg/m³


Entry 2
Crystalline BaGa2Ag9 at its relaxed geometry, computed with PBE-GGA.

Lattice parameters (Å, degrees): 11.545 11.545 7.351 90.00 90.00 90.00
Space group I4_1/amd (No. 141, origin choice 2)
Asymmetric unit:
Ba1 0.000 0.250 0.375 (multiplicity 4)
Ga1 0.000 0.000 0.000 (multiplicity 8)
Ag1 0.000 0.250 0.875 (multiplicity 4)
Ag2 0.122 0.045 0.689 (multiplicity 32)

Summary:
N(E_F)   17.314 states/eV per cell
ρ   8.457 Mg/m³


In terms of stability, entry 2 leads; the second structure lies 115 meV per atom higher.